No. 1
Tl3Se5S12 | GGA-PBE | optimized geometry

Structure (CIF):
```
data_Tl3Se5S12
_symmetry_space_group_name_H-M 'I a -3 d'
_symmetry_Int_Tables_number 230
_symmetry_space_group_name_Hall '-I 4bd 2c 3'
_cell_length_a 16.084
_cell_length_b 16.084
_cell_length_c 16.084
_cell_angle_alpha 90.00
_cell_angle_beta 90.00
_cell_angle_gamma 90.00
loop_
_atom_site_label
_atom_site_type_symbol
_atom_site_fract_x
_atom_site_fract_y
_atom_site_fract_z
Tl1 Tl 0.000 0.250 0.125
Se1 Se 0.000 0.000 0.000
Se2 Se 0.000 0.250 0.375
S1 S 0.037 0.052 0.645
```

Results
**Uncorrected formation energy**: 0.3130 eV/atom

No. 2
TlSe3S | GGA-PBE | optimized geometry

Structure (CIF):
```
data_TlSe3S
_symmetry_space_group_name_H-M 'P -1'
_symmetry_Int_Tables_number 2
_cell_length_a 5.966
_cell_length_b 9.518
_cell_length_c 12.468
_cell_angle_alpha 80.87
_cell_angle_beta 89.10
_cell_angle_gamma 79.39
loop_
_symmetry_equiv_pos_as_xyz
'x,y,z'
'-x,-y,-z'
loop_
_atom_site_label
_atom_site_type_symbol
_atom_site_fract_x
_atom_site_fract_y
_atom_site_fract_z
Tl1 Tl 0.165 0.083 0.327
Tl2 Tl 0.319 0.320 0.556
Se1 Se 0.062 0.840 0.098
Se2 Se 0.173 0.692 0.562
Se3 Se 0.278 0.495 0.259
Se4 Se 0.325 0.523 0.781
Se5 Se 0.329 0.169 0.924
Se6 Se 0.334 0.910 0.553
S1 S 0.154 0.729 0.269
S2 S 0.336 0.390 0.955
```

Results
**Uncorrected formation energy**: -0.0679 eV/atom
**ΔE to the lowest computed polymorph**: 0.000 eV per atom

No. 3
Tl4Se4S | GGA-PBE | optimized geometry

Structure (CIF):
```
data_Tl4Se4S
_symmetry_space_group_name_H-M 'P 42/n'
_symmetry_Int_Tables_number 86
_cell_length_a 10.591
_cell_length_b 10.591
_cell_length_c 4.759
_cell_angle_alpha 90.00
_cell_angle_beta 90.00
_cell_angle_gamma 90.00
loop_
_symmetry_equiv_pos_as_xyz
'x,y,z'
'-x,-y,-z'
'-y,x+1/2,z+1/2'
'y,-x+1/2,-z+1/2'
'-x+1/2,-y+1/2,z'
'x+1/2,y+1/2,-z'
'y+1/2,-x,z+1/2'
'-y+1/2,x,-z+1/2'
loop_
_atom_site_label
_atom_site_type_symbol
_atom_site_fract_x
_atom_site_fract_y
_atom_site_fract_z
Tl1 Tl 0.074 0.678 0.038
Se1 Se 0.088 0.404 0.464
S1 S 0.250 0.250 0.250
```

Results
**Uncorrected formation energy**: -0.1475 eV/atom

No. 4
Tl3Se2S8 | GGA-PBE | optimized geometry

Structure (CIF):
```
data_Tl3Se2S8
_symmetry_space_group_name_H-M 'C 1 2/m 1'
_symmetry_Int_Tables_number 12
_cell_length_a 7.909
_cell_length_b 11.772
_cell_length_c 9.438
_cell_angle_alpha 90.00
_cell_angle_beta 97.23
_cell_angle_gamma 90.00
loop_
_symmetry_equiv_pos_as_xyz
'x,y,z'
'-x,-y,-z'
'-x,y,-z'
'x,-y,z'
'x+1/2,y+1/2,z'
'-x+1/2,-y+1/2,-z'
'-x+1/2,y+1/2,-z'
'x+1/2,-y+1/2,z'
loop_
_atom_site_label
_atom_site_type_symbol
_atom_site_fract_x
_atom_site_fract_y
_atom_site_fract_z
Tl1 Tl 0.000 0.000 0.000
Tl2 Tl 0.000 0.340 0.500
Se1 Se 0.183 0.500 0.289
S1 S 0.068 0.500 0.838
S2 S 0.141 0.250 0.938
S3 S 0.241 0.500 0.697
```

Results
**Uncorrected formation energy**: 0.0491 eV/atom

No. 5
Tl8Se4S | GGA-PBE | optimized geometry

Structure (CIF):
```
data_Tl8Se4S
_symmetry_space_group_name_H-M 'R -3 m'
_symmetry_Int_Tables_number 166
_symmetry_space_group_name_Hall '-R 3 2"'
_cell_length_a 8.7174
_cell_length_b 8.7174
_cell_length_c 20.0668
_cell_angle_alpha 90.00
_cell_angle_beta 90.00
_cell_angle_gamma 120.00
loop_
_atom_site_label
_atom_site_type_symbol
_atom_site_fract_x
_atom_site_fract_y
_atom_site_fract_z
Tl1 Tl 0.0000 0.0000 0.2455
Tl2 Tl 0.0055 0.5027 0.2471
Se1 Se 0.0000 0.0000 0.0000
Se2 Se 0.0000 0.5000 0.0000
S1 S 0.0000 0.0000 0.5000
```

Results
**Uncorrected formation energy**: -0.2820 eV/atom

No. 6
TlSeS | GGA-PBE | optimized geometry

Structure (CIF):
```
data_TlSeS
_symmetry_space_group_name_H-M 'C 1 2 1'
_symmetry_Int_Tables_number 5
_cell_length_a 9.470
_cell_length_b 7.917
_cell_length_c 5.364
_cell_angle_alpha 90.00
_cell_angle_beta 121.70
_cell_angle_gamma 90.00
loop_
_symmetry_equiv_pos_as_xyz
'x,y,z'
'-x,y,-z'
'x+1/2,y+1/2,z'
'-x+1/2,y+1/2,-z'
loop_
_atom_site_label
_atom_site_type_symbol
_atom_site_fract_x
_atom_site_fract_y
_atom_site_fract_z
Tl1 Tl 0.138 0.000 0.378
Se1 Se 0.228 0.260 0.980
S1 S 0.037 0.473 0.849
```

Results
**Uncorrected formation energy**: -0.1567 eV/atom
**ΔE to the lowest computed polymorph**: 0.000 eV per atom